[1]
The following is a GGA-PBE calculation of a relaxed structure of Sm5DyTl, from Alexandria.

Energy relative to the lowest polymorph listed for this composition   0.0 meV per atom
ΔE_f   0.18 eV/atom

Cell lengths 4.7815, 4.7815, 10.4802 Å; angles 90.00, 90.00, 90.00 degrees
Last column: nearest neighbours and their distance in Å.
Space group P4/mmm (No. 123)
Unique sites:
Sm 0.0000 0.0000 0.0000 [1 per cell]  4 Tl 3.38, 8 Sm 3.49
Sm 0.0000 0.5000 0.2431 [4 per cell]  6 Sm 3.38-3.49, 2 Tl 3.49, 2 Dy 3.60
Dy 0.5000 0.5000 0.5000 [1 per cell]  8 Sm 3.60
Tl 0.5000 0.5000 0.0000 [1 per cell]  12 Sm 3.38-3.49

---

[2]
The following is a GGA-PBE calculation of a relaxed structure of Cs3La2CeSe6, from Alexandria.

ΔE_f (raw)   -21.16 eV per formula unit

Cell lengths 7.7742, 13.4645, 8.7636 Å; angles 90.00, 107.20, 90.00 degrees
Last column: nearest neighbours and their distance in Å.
Space group C2/m (No. 12)
Unique sites:
Cs 0.0000 0.0000 0.0000 [2 per cell]  6 Se 3.66-3.68
Cs 0.0000 0.3328 0.0000 [4 per cell]  6 Se 3.66-3.68
La 0.0000 0.1666 0.5000 [4 per cell]  6 Se 3.05
Ce 0.0000 0.5000 0.5000 [2 per cell]  6 Se 3.02
Se 0.2285 0.3348 0.6898 [8 per cell]  1 Ce 3.02, 2 La 3.05
Se 0.2329 0.0000 0.6900 [4 per cell]  1 Ce 3.02, 2 La 3.05

---

[3]
The following is a GGA-PBE calculation of a relaxed structure of La4Dy3TmTe8, from Alexandria.

ΔE_f (raw)   -22.85 eV per formula unit

Cell lengths 8.8527, 8.8527, 22.1937 Å; angles 90.00, 90.00, 120.00 degrees
Last column: nearest neighbours and their distance in Å.
Space group R-3m (No. 166, hexagonal axes)
Unique sites:
La 0.0000 0.0000 0.0000 [3 per cell]  6 Te 3.25
La 0.0000 0.5000 0.0000 [9 per cell]  6 Te 3.23
Dy 0.0000 0.5000 0.5000 [9 per cell]  6 Te 3.08
Tm 0.0000 0.0000 0.5000 [3 per cell]  6 Te 3.06
Te 0.0000 0.0000 0.2443 [6 per cell]  3 Dy 3.08, 3 La 3.23
Te 0.0024 0.5012 0.2437 [18 per cell]  1 Tm 3.06, 2 Dy 3.08, 3 La 3.23-3.25

---

[4]
The following is a GGA-PBE calculation of a relaxed structure of TlSb2Mo, from Alexandria.

Energy relative to the lowest polymorph listed for this composition   696.5 meV per atom
ΔE_f (raw)   3.12 eV per formula unit

Cell lengths 7.2484, 7.2484, 7.2484 Å; angles 90.00, 90.00, 90.00 degrees
Last column: nearest neighbours and their distance in Å.
Space group F-43m (No. 216)
Unique sites:
Tl 0.0000 0.0000 0.0000 [4 per cell]  4 Sb 3.14, 4 Mo 3.14
Sb 0.0000 0.0000 0.5000 [4 per cell]  4 Mo 3.14, 4 Sb 3.14
Sb 0.2500 0.2500 0.2500 [4 per cell]  4 Tl 3.14, 4 Sb 3.14
Mo 0.2500 0.2500 0.7500 [4 per cell]  4 Tl 3.14, 4 Sb 3.14

---

[5]
The following is a GGA-PBE calculation of a relaxed structure of PuP2Ru, from Alexandria.

Energy relative to the lowest polymorph listed for this composition   7.7 meV per atom
ΔE_f   -0.58 eV/atom

Cell lengths 3.7316, 5.6693, 7.0053 Å; angles 90.00, 90.00, 90.00 degrees
Last column: nearest neighbours and their distance in Å.
Space group Amm2 (No. 38)
Unique sites:
Pu 0.0000 0.0000 0.0000 [2 per cell]  8 P 2.93-2.99
P 0.5000 0.1931 0.2946 [4 per cell]  1 P 2.19, 2 Ru 2.26-2.34
Ru 0.5000 0.0000 0.5891 [2 per cell]  4 P 2.26-2.34

---

[6]
The following is a GGA-PBE calculation of a relaxed structure of Pr3Sm2Cd, from Alexandria.

Energy relative to the lowest polymorph listed for this composition   69.0 meV per atom
ΔE_f   -0.02 eV/atom

Cell lengths 6.2582, 10.8853, 11.8283 Å; angles 90.00, 100.38, 90.00 degrees
Last column: nearest neighbours and their distance in Å.
Space group C2/m (No. 12)
Unique sites:
Pr 0.2402 0.0000 0.2424 [4 per cell]  2 Cd 3.50, 4 Sm 3.54-3.65, 6 Pr 3.59-3.68
Pr 0.2503 0.1698 0.7562 [8 per cell]  2 Cd 3.50-3.52, 4 Sm 3.54-3.65, 6 Pr 3.58-3.70
Sm 0.0000 0.0000 0.5000 [2 per cell]  6 Sm 3.60-3.66, 6 Pr 3.63-3.65
Sm 0.0000 0.3367 0.5000 [4 per cell]  6 Sm 3.56-3.66, 6 Pr 3.64-3.65
Sm 0.0000 0.5000 0.0000 [2 per cell]  6 Pr 3.54, 6 Cd 3.62
Cd 0.0000 0.1676 0.0000 [4 per cell]  6 Pr 3.50-3.52, 3 Cd 3.61-3.65, 3 Sm 3.62

---

[7]
The following is a GGA-PBE calculation of a relaxed structure of KRb2NaF, from Alexandria.

Energy relative to the lowest polymorph listed for this composition   71.6 meV per atom
ΔE_f (raw)   -4.58 eV per formula unit

Cell lengths 5.6045, 5.6045, 7.9704 Å; angles 90.00, 90.00, 90.00 degrees
Last column: nearest neighbours and their distance in Å.
Space group P4/mmm (No. 123)
Unique sites:
K 0.0000 0.0000 0.0000 [1 per cell]  4 Na 3.96
Rb 0.0000 0.5000 0.5000 [2 per cell]  2 F 2.80
Na 0.5000 0.5000 0.0000 [1 per cell]  4 K 3.96, 2 F 3.99
F 0.5000 0.5000 0.5000 [1 per cell]  4 Rb 2.80

---

[8]
The following is a GGA-PBE calculation of a relaxed structure of BaTiBi3, from Alexandria.

Energy relative to the lowest polymorph listed for this composition   101.2 meV per atom
ΔE_f   -0.33 eV/atom

Cell lengths 5.5495, 5.5495, 5.5495 Å; angles 90.00, 90.00, 90.00 degrees
Last column: nearest neighbours and their distance in Å.
Space group Pm-3m (No. 221)
Unique sites:
Ba 0.0000 0.0000 0.0000 [1 per cell]  12 Bi 3.92
Ti 0.5000 0.5000 0.5000 [1 per cell]  6 Bi 2.77
Bi 0.0000 0.5000 0.5000 [3 per cell]  2 Ti 2.77

---

Calculated values (states/eV/cell) of D(E_F) for the records, taken in order: 10.2; 10.2; 36.1; 9.1; 19.0; 27.9; 2.7; 3.6.
Calculated values (eV per atom) of total energy for the records, taken in order: -4.19; -5.03; -5.37; -4.58; -9.19; -4.14; -2.16; -4.63.